Entry 1:
Li2PmHoSe4 | PBE | relaxed

Values from the calculation:
- total magnetic moment (μB/f.u.) = 0.00
- formation energy (no corrections) (eV/atom) = -1.68
- crystal system = monoclinic

Cell and atoms, written as POSCAR:
```
Li2PmHoSe4
1.0
4.116 0.000 0.000
0.000 7.129 0.122
0.000 -2.483 6.468
Li Pm Ho Se
2 1 1 4
Direct
0.500 0.000 0.500 Li
0.000 0.500 0.500 Li
0.500 0.500 0.000 Pm
0.000 0.000 0.000 Ho
0.500 0.244 0.254 Se
0.500 0.756 0.746 Se
0.000 0.241 0.743 Se
0.000 0.759 0.257 Se
```



Entry 2:
Ba6CdAu2 | PBE | relaxed

Values from the calculation:
- total magnetic moment (μB/f.u.) = 0.00
- E_form (kJ per mole of atoms) = -38.51
- crystal system = orthorhombic

Cell and atoms, written as POSCAR:
```
Ba6CdAu2
1.0
9.495 -0.165 -3.337
-5.172 8.178 -2.773
0.014 0.165 10.064
Ba Cd Au
12 2 4
Direct
0.546 0.720 0.826 Ba
0.454 0.280 0.174 Ba
0.106 0.280 0.826 Ba
0.894 0.720 0.174 Ba
0.812 0.757 0.569 Ba
0.188 0.243 0.431 Ba
0.188 0.757 0.945 Ba
0.812 0.243 0.055 Ba
0.687 0.353 0.665 Ba
0.313 0.647 0.335 Ba
0.313 0.978 0.665 Ba
0.687 0.022 0.335 Ba
0.000 0.500 0.500 Cd
0.000 0.000 0.000 Cd
0.500 0.378 0.878 Au
0.500 0.622 0.122 Au
0.674 0.000 0.674 Au
0.326 0.000 0.326 Au
```



Entry 3:
K2CdSiHg | PBE | relaxed

Values from the calculation:
- total magnetic moment (μB/f.u.) = 1.73
- formation energy (no corrections) (eV/atom) = 0.50
- crystal system = tetragonal

Cell and atoms, written as POSCAR:
```
K2CdSiHg
1.0
6.391 0.000 0.000
0.000 5.369 0.000
0.000 0.000 6.391
K Si Hg Cd
2 1 1 1
Direct
0.000 0.000 0.500 K
0.500 0.000 0.000 K
0.500 0.500 0.500 Si
0.000 0.000 0.000 Hg
0.000 0.500 0.000 Cd
```



Entry 4:
Y2CuP3Pt4 | PBE | relaxed

Values from the calculation:
- total magnetic moment (μB/f.u.) = 0.00
- E_form (kJ per mole of atoms) = -84.54
- crystal system = tetragonal

Cell and atoms, written as POSCAR:
```
Y2CuP3Pt4
1.0
4.212 0.000 0.000
0.000 4.212 0.000
0.000 0.000 9.726
Y Cu P Pt
2 1 3 4
Direct
0.500 0.000 0.250 Y
0.000 0.500 0.750 Y
0.500 0.500 0.500 Cu
0.000 0.000 0.500 P
0.500 0.000 0.865 P
0.000 0.500 0.135 P
0.500 0.500 0.000 Pt
0.000 0.000 0.000 Pt
0.500 0.000 0.629 Pt
0.000 0.500 0.371 Pt
```



Entry 5:
Ta2ZnMo | PBE | relaxed

Values from the calculation:
- total magnetic moment (μB/f.u.) = 0.00
- E_form (kJ per mole of atoms) = 14.89
- crystal system = orthorhombic

Cell and atoms, written as POSCAR:
```
Ta2ZnMo
1.0
-2.265 0.616 -1.387
1.944 -0.978 -3.610
-1.834 -5.568 0.521
Mo Ta Zn
1 2 1
Direct
0.500 0.500 0.750 Mo
0.000 0.000 0.001 Ta
0.000 0.000 0.499 Ta
0.500 0.500 0.250 Zn
```



Entry 6:
PaFe11B | PBE | relaxed

Values from the calculation:
- total magnetic moment (μB/f.u.) = 20.40
- E_form (kJ per mole of atoms) = -4.71
- crystal system = monoclinic

Cell and atoms, written as POSCAR:
```
PaFe11B
1.0
-2.063 0.034 4.056
-1.226 -5.811 1.926
4.165 -0.203 4.672
Pa Fe B
1 11 1
Direct
0.000 0.000 0.000 Pa
0.294 0.231 0.215 Fe
0.706 0.769 0.785 Fe
0.491 0.769 0.215 Fe
0.509 0.231 0.785 Fe
0.355 0.639 0.649 Fe
0.645 0.361 0.351 Fe
0.996 0.361 0.649 Fe
0.004 0.639 0.351 Fe
0.000 0.500 0.000 Fe
0.500 0.000 0.500 Fe
0.000 0.000 0.500 Fe
0.500 0.500 0.000 B
```



Entry 7:
NdYEr2 | PBE | relaxed

Values from the calculation:
- total magnetic moment (μB/f.u.) = 0.00
- E_form (kJ per mole of atoms) = 11.67
- crystal system = cubic
- offset from the most stable computed form (kJ per mole of atoms) = 10.8

Cell and atoms, written as POSCAR:
```
NdYEr2
1.0
-1.569 -3.999 -3.730
3.426 -1.345 -4.338
2.663 -5.027 -0.069
Y Nd Er
1 1 2
Direct
0.000 0.000 0.000 Y
0.500 0.500 0.500 Nd
0.250 0.250 0.250 Er
0.750 0.750 0.750 Er
```



Entry 8:
UFeSb2 | PBE | relaxed

Values from the calculation:
- total magnetic moment (μB/f.u.) = 3.99
- formation energy (no corrections) (eV/atom) = 0.31
- crystal system = trigonal

Cell and atoms, written as POSCAR:
```
UFeSb2
1.0
-0.586 3.059 -0.583
-1.708 1.706 2.053
7.688 4.143 5.400
Sb U Fe
2 1 1
Direct
0.105 0.105 0.686 Sb
0.895 0.895 0.314 Sb
0.000 0.000 0.000 U
0.500 0.500 0.500 Fe
```



> What is the total magnetic moment in the fifth record?

0.00 μB/f.u.